A relaxed Ho6Tl5Hg crystal, computed with GGA-PBE.

For the formation energy, the calculation gives -410 kJ/mol of formula units. The energy above the most stable polymorph in this dataset is 0.000 eV per atom.

```
data_Ho6Tl5Hg
_chemical_formula_sum 'Ho12 Tl10 Hg2'
_symmetry_space_group_name_H-M 'C m m m'
_symmetry_Int_Tables_number 65
_symmetry_space_group_name_Hall '-C 2 2'
_cell_length_a 5.3538
_cell_length_b 16.0896
_cell_length_c 7.4516
_cell_angle_alpha 90.00
_cell_angle_beta 90.00
_cell_angle_gamma 90.00
loop_
_atom_site_label
_atom_site_type_symbol
_atom_site_fract_x
_atom_site_fract_y
_atom_site_fract_z
Ho1 Ho 0.0000 0.0000 0.2467
Ho2 Ho 0.0000 0.3349 0.2477
Tl1 Tl 0.0000 0.1652 0.0000
Tl2 Tl 0.0000 0.1674 0.5000
Tl3 Tl 0.0000 0.5000 0.5000
Hg1 Hg 0.0000 0.5000 0.0000
```

A relaxed CdTe2Rh crystal, computed with GGA-PBE.

The calculation puts the formation energy from raw total energies at -153.9 meV/atom.

```
data_CdTe2Rh
_chemical_formula_sum 'Cd4 Te8 Rh4'
_symmetry_space_group_name_H-M 'I -4 2 d'
_symmetry_Int_Tables_number 122
_symmetry_space_group_name_Hall 'I -4 2bw'
_cell_length_a 6.2647
_cell_length_b 6.2647
_cell_length_c 12.6242
_cell_angle_alpha 90.00
_cell_angle_beta 90.00
_cell_angle_gamma 90.00
loop_
_atom_site_label
_atom_site_type_symbol
_atom_site_fract_x
_atom_site_fract_y
_atom_site_fract_z
Cd1 Cd 0.0000 0.0000 0.0000
Te1 Te 0.2042 0.2500 0.6250
Rh1 Rh 0.0000 0.0000 0.5000
```

A relaxed LaTmLuZn crystal, computed with GGA-PBE.

For the formation energy, the calculation gives 6 kJ/mol of formula units.

```
data_LaTmLuZn
_chemical_formula_sum 'La4 Tm4 Lu4 Zn4'
_symmetry_space_group_name_H-M 'F -4 3 m'
_symmetry_Int_Tables_number 216
_symmetry_space_group_name_Hall 'F -4 2 3'
_cell_length_a 7.6027
_cell_length_b 7.6027
_cell_length_c 7.6027
_cell_angle_alpha 90.00
_cell_angle_beta 90.00
_cell_angle_gamma 90.00
loop_
_atom_site_label
_atom_site_type_symbol
_atom_site_fract_x
_atom_site_fract_y
_atom_site_fract_z
La1 La 0.0000 0.0000 0.0000
Tm1 Tm 0.0000 0.0000 0.5000
Lu1 Lu 0.2500 0.2500 0.2500
Zn1 Zn 0.2500 0.2500 0.7500
```

A relaxed Ac2ScSn4Pt3 crystal, computed with GGA-PBE.

For the formation energy, the calculation gives -850 kJ/mol of formula units.

```
data_Ac2ScSn4Pt3
_chemical_formula_sum 'Ac2 Sc1 Sn4 Pt3'
_symmetry_space_group_name_H-M 'P -4 m 2'
_symmetry_Int_Tables_number 115
_symmetry_space_group_name_Hall 'P -4 -2'
_cell_length_a 4.5681
_cell_length_b 4.5681
_cell_length_c 11.8534
_cell_angle_alpha 90.00
_cell_angle_beta 90.00
_cell_angle_gamma 90.00
loop_
_atom_site_label
_atom_site_type_symbol
_atom_site_fract_x
_atom_site_fract_y
_atom_site_fract_z
Ac1 Ac 0.0000 0.5000 0.2419
Sc1 Sc 0.0000 0.0000 0.5000
Sn1 Sn 0.0000 0.0000 0.0000
Sn2 Sn 0.0000 0.5000 0.6443
Sn3 Sn 0.5000 0.5000 0.0000
Pt1 Pt 0.0000 0.5000 0.8725
Pt2 Pt 0.5000 0.5000 0.5000
```

A relaxed CaLaPa2O8 crystal, computed with GGA-PBE.

The calculation puts the formation energy from raw total energies at -3372.6 meV/atom.

```
data_CaLaPa2O8
_chemical_formula_sum 'Ca2 La2 Pa4 O16'
_symmetry_space_group_name_H-M 'I -4 m 2'
_symmetry_Int_Tables_number 119
_symmetry_space_group_name_Hall 'I -4 -2'
_cell_length_a 5.5385
_cell_length_b 5.5385
_cell_length_c 10.8145
_cell_angle_alpha 90.00
_cell_angle_beta 90.00
_cell_angle_gamma 90.00
loop_
_atom_site_label
_atom_site_type_symbol
_atom_site_fract_x
_atom_site_fract_y
_atom_site_fract_z
Ca1 Ca 0.0000 0.0000 0.0000
La1 La 0.0000 0.5000 0.2500
Pa1 Pa 0.0000 0.0000 0.5000
Pa2 Pa 0.0000 0.5000 0.7500
O1 O 0.2275 0.2508 0.6244
```

A relaxed SrBH crystal, computed with GGA-PBE.

The energy above the most stable polymorph in this dataset is 0.046 eV per atom.

```
data_SrBH
_chemical_formula_sum 'Sr8 B8 H8'
_symmetry_space_group_name_H-M 'P n m a'
_symmetry_Int_Tables_number 62
_symmetry_space_group_name_Hall '-P 2ac 2n'
_cell_length_a 4.7175
_cell_length_b 6.0079
_cell_length_c 15.4459
_cell_angle_alpha 90.00
_cell_angle_beta 90.00
_cell_angle_gamma 90.00
loop_
_atom_site_label
_atom_site_type_symbol
_atom_site_fract_x
_atom_site_fract_y
_atom_site_fract_z
Sr1 Sr 0.0778 0.2500 0.1196
Sr2 Sr 0.0818 0.7500 0.3470
B1 B 0.0481 0.1172 0.4895
H1 H 0.0810 0.7500 0.1857
H2 H 0.0842 0.2500 0.2958
```

A relaxed RuPtBr2 crystal, computed with GGA-PBE.

The calculation puts the formation energy from raw total energies at 557.8 meV/atom. The energy above the most stable polymorph in this dataset is 0.403 eV per atom.

```
data_RuPtBr2
_chemical_formula_sum 'Ru3 Pt3 Br6'
_symmetry_space_group_name_H-M 'R -3 m'
_symmetry_Int_Tables_number 166
_symmetry_space_group_name_Hall '-R 3 2"'
_cell_length_a 3.6900
_cell_length_b 3.6900
_cell_length_c 22.6842
_cell_angle_alpha 90.00
_cell_angle_beta 90.00
_cell_angle_gamma 120.00
loop_
_atom_site_label
_atom_site_type_symbol
_atom_site_fract_x
_atom_site_fract_y
_atom_site_fract_z
Ru1 Ru 0.0000 0.0000 0.0000
Pt1 Pt 0.0000 0.0000 0.5000
Br1 Br 0.0000 0.0000 0.3938
```

A relaxed CaNdGaPb crystal, computed with GGA-PBE.

For the formation energy, the calculation gives -174 kJ/mol of formula units.

```
data_CaNdGaPb
_chemical_formula_sum 'Ca4 Nd4 Ga4 Pb4'
_symmetry_space_group_name_H-M 'F -4 3 m'
_symmetry_Int_Tables_number 216
_symmetry_space_group_name_Hall 'F -4 2 3'
_cell_length_a 7.6608
_cell_length_b 7.6608
_cell_length_c 7.6608
_cell_angle_alpha 90.00
_cell_angle_beta 90.00
_cell_angle_gamma 90.00
loop_
_atom_site_label
_atom_site_type_symbol
_atom_site_fract_x
_atom_site_fract_y
_atom_site_fract_z
Ca1 Ca 0.0000 0.0000 0.0000
Nd1 Nd 0.0000 0.0000 0.5000
Ga1 Ga 0.2500 0.2500 0.7500
Pb1 Pb 0.2500 0.2500 0.2500
```

A relaxed TlCo2Cl crystal, computed with GGA-PBE.

The calculation puts the formation energy from raw total energies at 490.5 meV/atom. The energy above the most stable polymorph in this dataset is 0.255 eV per atom.

```
data_TlCo2Cl
_chemical_formula_sum 'Tl4 Co8 Cl4'
_symmetry_space_group_name_H-M 'I -4 2 d'
_symmetry_Int_Tables_number 122
_symmetry_space_group_name_Hall 'I -4 2bw'
_cell_length_a 4.6392
_cell_length_b 4.6392
_cell_length_c 14.1639
_cell_angle_alpha 90.00
_cell_angle_beta 90.00
_cell_angle_gamma 90.00
loop_
_atom_site_label
_atom_site_type_symbol
_atom_site_fract_x
_atom_site_fract_y
_atom_site_fract_z
Tl1 Tl 0.0000 0.0000 0.0000
Co1 Co 0.0942 0.2500 0.6250
Cl1 Cl 0.0000 0.0000 0.5000
```

A relaxed SrSn3Ge3 crystal, computed with GGA-PBE.

For the formation energy, the calculation gives 25 kJ/mol of formula units.

```
data_SrSn3Ge3
_chemical_formula_sum 'Sr2 Sn6 Ge6'
_symmetry_space_group_name_H-M 'P m -3 n'
_symmetry_Int_Tables_number 223
_symmetry_space_group_name_Hall '-P 4n 2 3'
_cell_length_a 7.6560
_cell_length_b 7.6560
_cell_length_c 7.6560
_cell_angle_alpha 90.00
_cell_angle_beta 90.00
_cell_angle_gamma 90.00
loop_
_atom_site_label
_atom_site_type_symbol
_atom_site_fract_x
_atom_site_fract_y
_atom_site_fract_z
Sr1 Sr 0.0000 0.0000 0.0000
Sn1 Sn 0.0000 0.2500 0.5000
Ge1 Ge 0.0000 0.5000 0.2500
```

A relaxed YTh2Pt3 crystal, computed with GGA-PBE.

For the formation energy, the calculation gives -697 kJ/mol of formula units.

```
data_YTh2Pt3
_chemical_formula_sum 'Y16 Th32 Pt48'
_symmetry_space_group_name_H-M 'F d d d'
_symmetry_Int_Tables_number 70
_cell_length_a 8.2736
_cell_length_b 11.7652
_cell_length_c 25.1457
_cell_angle_alpha 90.00
_cell_angle_beta 90.00
_cell_angle_gamma 90.00
loop_
_symmetry_equiv_pos_as_xyz
'x,y,z'
'-x,-y,-z'
'-x+1/4,-y+1/4,z'
'x+1/4,y+1/4,-z'
'x,-y+1/4,-z+1/4'
'-x,y+1/4,z+1/4'
'-x+1/4,y,-z+1/4'
'x+1/4,-y,z+1/4'
'x,y+1/2,z+1/2'
'-x,-y+1/2,-z+1/2'
'-x+1/4,-y+3/4,z+1/2'
'x+1/4,y+3/4,-z+1/2'
'x,-y+3/4,-z+3/4'
'-x,y+3/4,z+3/4'
'-x+1/4,y+1/2,-z+3/4'
'x+1/4,-y+1/2,z+3/4'
'x+1/2,y,z+1/2'
'-x+1/2,-y,-z+1/2'
'-x+3/4,-y+1/4,z+1/2'
'x+3/4,y+1/4,-z+1/2'
'x+1/2,-y+1/4,-z+3/4'
'-x+1/2,y+1/4,z+3/4'
'-x+3/4,y,-z+3/4'
'x+3/4,-y,z+3/4'
'x+1/2,y+1/2,z'
'-x+1/2,-y+1/2,-z'
'-x+3/4,-y+3/4,z'
'x+3/4,y+3/4,-z'
'x+1/2,-y+3/4,-z+1/4'
'-x+1/2,y+3/4,z+1/4'
'-x+3/4,y+1/2,-z+1/4'
'x+3/4,-y+1/2,z+1/4'
loop_
_atom_site_label
_atom_site_type_symbol
_atom_site_fract_x
_atom_site_fract_y
_atom_site_fract_z
Y1 Y 0.1250 0.1250 0.0416
Th1 Th 0.1250 0.1250 0.3757
Th2 Th 0.1250 0.1250 0.5422
Pt1 Pt 0.1245 0.3754 0.2082
Pt2 Pt 0.1241 0.3750 0.3750
```

A relaxed Pr2TlPd crystal, computed with GGA-PBE.

For the formation energy, the calculation gives -76 kJ/mol of formula units.

```
data_Pr2TlPd
_chemical_formula_sum 'Pr6 Tl3 Pd3'
_symmetry_space_group_name_H-M 'R -3 m'
_symmetry_Int_Tables_number 166
_symmetry_space_group_name_Hall '-R 3 2"'
_cell_length_a 4.0142
_cell_length_b 4.0142
_cell_length_c 30.4263
_cell_angle_alpha 90.00
_cell_angle_beta 90.00
_cell_angle_gamma 120.00
loop_
_atom_site_label
_atom_site_type_symbol
_atom_site_fract_x
_atom_site_fract_y
_atom_site_fract_z
Pr1 Pr 0.0000 0.0000 0.1091
Tl1 Tl 0.0000 0.0000 0.0000
Pd1 Pd 0.0000 0.0000 0.5000
```